1.
The following is a GGA-PBEsol calculation of an optimized crystal structure of Li6VCl8, from Alexandria via LeMat-Bulk.

Summary:
**Raw formation energy**: -1.6866 eV/atom
**Space group**: Fm-3m

abc: 7.162 7.162 7.162
angles: 60.00 60.00 60.00
Element x y z (fractional)
Cl 0.241 0.759 0.759
Cl 0.250 0.250 0.250
Cl 0.759 0.241 0.241
Cl 0.241 0.241 0.759
Cl 0.750 0.750 0.750
Cl 0.241 0.759 0.241
Cl 0.759 0.759 0.241
Cl 0.759 0.241 0.759
Li 0.000 0.500 0.000
Li 0.500 0.000 0.500
Li 0.500 0.500 0.000
Li 0.500 0.000 0.000
Li 0.000 0.500 0.500
Li 0.000 0.000 0.500
V 0.000 0.000 0.000

***

2.
The following is a GGA-PBEsol calculation of an optimized crystal structure of Ho2ZnCu, from Alexandria via LeMat-Bulk.

Summary:
**E_form**: -284 meV per atom
**Space group**: Fm-3m

abc: 4.863 4.863 4.863
angles: 60.00 60.00 60.00
Element x y z (fractional)
Ho 0.250 0.250 0.250
Ho 0.750 0.750 0.750
Zn 0.500 0.500 0.500
Cu 0.000 0.000 0.000

***

3.
The following is a GGA-PBEsol calculation of an optimized crystal structure of Pr6MnSi2S14, from Alexandria via LeMat-Bulk.

Summary:
**Raw formation energy**: -1.6487 eV/atom
**Space group**: P3

abc: 5.658 10.138 10.138
angles: 120.00 90.00 90.00
Element x y z (fractional)
Pr 0.752 0.357 0.233
Pr 0.752 0.767 0.124
Pr 0.752 0.876 0.643
Pr 0.245 0.125 0.357
Pr 0.245 0.232 0.875
Pr 0.245 0.643 0.768
S 0.749 0.084 0.245
S 0.270 0.245 0.159
S 0.032 0.333 0.667
S 0.519 0.111 0.589
S 0.025 0.889 0.410
S 0.025 0.522 0.111
S 0.749 0.755 0.839
S 0.749 0.161 0.916
S 0.270 0.841 0.086
S 0.519 0.411 0.522
S 0.519 0.478 0.889
S 0.025 0.590 0.478
S 0.539 0.667 0.333
S 0.270 0.914 0.755
Si 0.661 0.333 0.667
Si 0.169 0.667 0.333
Mn 0.507 0.000 0.000

***

4.
The following is a GGA-PBEsol calculation of an optimized crystal structure of TmZnGa, from Alexandria via LeMat-Bulk.

Summary:
**E_form**: -584 meV per atom
**Space group**: P6_3/mmc

abc: 4.306 4.306 6.966
angles: 90.00 90.00 120.00
Element x y z (fractional)
Ga 0.667 0.333 0.750
Ga 0.333 0.667 0.250
Tm 0.000 0.000 0.500
Tm 0.000 0.000 0.000
Zn 0.667 0.333 0.250
Zn 0.333 0.667 0.750

***

no.,total energy (eV/cell)
1,-62.8
2,-17.0
3,-151.7
4,-23.1